A relaxed structure of VFe7Co3, computed with PBE-GGA.

a = 2.468 Å, b = 7.934 Å, c = 7.934 Å
α = 120.00°, β = 90.00°, γ = 90.00°
Fractional coordinates of all 11 atoms:
V: 0.406 0.667 0.333
Fe: 0.088 0.834 0.667
Fe: 0.088 0.333 0.166
Fe: 0.133 0.333 0.667
Fe: 0.487 0.158 0.316
Fe: 0.487 0.158 0.842
Fe: 0.487 0.684 0.842
Fe: 0.088 0.834 0.166
Co: 0.783 0.497 0.993
Co: 0.783 0.007 0.503
Co: 0.783 0.497 0.503

Calculated values
**ΔE_f**: 0.1497 eV/atom
**Volume**: 12.23 Å³ per atom
**Spin magnetization**: 20.75 μB/cell
**Crystal system**: trigonal
**Symmetry**: No. 156

A relaxed structure of V6FeCo8, computed with PBE-GGA.

a = 6.471 Å, b = 6.471 Å, c = 6.196 Å
α = 58.52°, β = 58.52°, γ = 60.00°
Fractional coordinates of all 15 atoms:
V: 0.378 0.126 0.852
V: 0.874 0.356 0.148
V: 0.356 0.622 0.148
V: 0.644 0.378 0.852
V: 0.126 0.644 0.852
V: 0.622 0.874 0.148
Fe: 0.000 0.000 0.000
Co: 0.605 0.153 0.372
Co: 0.847 0.130 0.628
Co: 0.130 0.395 0.628
Co: 0.748 0.748 0.757
Co: 0.252 0.252 0.243
Co: 0.870 0.605 0.372
Co: 0.153 0.870 0.372
Co: 0.395 0.847 0.628

Calculated values
**ΔE_f**: 0.0612 eV/atom
**Volume**: 11.95 Å³ per atom
**Spin magnetization**: 0.03 μB/cell
**Crystal system**: trigonal
**Symmetry**: No. 148

A relaxed structure of VFe3Co6, computed with PBE-GGA.

a = 3.568 Å, b = 7.850 Å, c = 8.028 Å
α = 91.52°, β = 90.00°, γ = 90.00°
Fractional coordinates of all 20 atoms:
V: 0.250 0.943 0.616
V: 0.750 0.057 0.384
Fe: 0.250 0.553 0.404
Fe: 0.750 0.447 0.596
Fe: 0.250 0.348 0.796
Fe: 0.750 0.652 0.204
Fe: 0.250 0.750 0.995
Fe: 0.750 0.250 0.005
Co: 0.250 0.450 0.102
Co: 0.750 0.550 0.898
Co: 0.250 0.152 0.198
Co: 0.750 0.848 0.802
Co: 0.250 0.648 0.700
Co: 0.750 0.352 0.300
Co: 0.250 0.245 0.496
Co: 0.750 0.755 0.504
Co: 0.250 0.855 0.301
Co: 0.750 0.145 0.699
Co: 0.250 0.051 0.905
Co: 0.750 0.949 0.095

Calculated values
**ΔE_f**: -0.0065 eV/atom
**Volume**: 11.24 Å³ per atom
**Spin magnetization**: 27.67 μB/cell
**Crystal system**: monoclinic
**Symmetry**: No. 11

A relaxed structure of V3Fe2Co6, computed with PBE-GGA.

a = 3.225 Å, b = 3.225 Å, c = 13.147 Å
α = 97.05°, β = 97.05°, γ = 90.00°
Fractional coordinates of all 11 atoms:
V: 0.000 0.000 0.000
V: 0.829 0.829 0.658
V: 0.171 0.171 0.342
Fe: 0.362 0.362 0.723
Fe: 0.638 0.638 0.277
Co: 0.071 0.571 0.142
Co: 0.571 0.071 0.142
Co: 0.929 0.429 0.858
Co: 0.429 0.929 0.858
Co: 0.730 0.730 0.460
Co: 0.270 0.270 0.540

Calculated values
**ΔE_f**: 0.2714 eV/atom
**Volume**: 12.24 Å³ per atom
**Spin magnetization**: 7.13 μB/cell
**Crystal system**: tetragonal
**Symmetry**: No. 139

A relaxed structure of V3FeCo4, computed with PBE-GGA.

a = 5.136 Å, b = 4.327 Å, c = 8.159 Å
α = 90.00°, β = 90.00°, γ = 90.00°
Fractional coordinates of all 16 atoms:
V: 0.692 0.859 0.000
V: 0.187 0.523 0.230
V: 0.687 0.477 0.270
V: 0.192 0.141 0.500
V: 0.687 0.477 0.730
V: 0.187 0.523 0.770
Fe: 0.936 0.365 0.000
Fe: 0.436 0.635 0.500
Co: 0.189 0.870 0.000
Co: 0.442 0.357 0.000
Co: 0.941 0.002 0.251
Co: 0.441 0.998 0.249
Co: 0.942 0.643 0.500
Co: 0.689 0.130 0.500
Co: 0.441 0.998 0.751
Co: 0.941 0.002 0.749

Calculated values
**ΔE_f**: -0.1215 eV/atom
**Volume**: 11.33 Å³ per atom
**Spin magnetization**: 0.89 μB/cell
**Crystal system**: orthorhombic
**Symmetry**: No. 31

A relaxed structure of VFe5Co4, computed with PBE-GGA.

a = 3.982 Å, b = 6.221 Å, c = 6.010 Å
α = 118.50°, β = 109.35°, γ = 90.00°
Fractional coordinates of all 10 atoms:
V: 0.500 0.000 0.000
Fe: 0.856 0.317 0.712
Fe: 0.787 0.884 0.573
Fe: 0.213 0.116 0.427
Fe: 0.500 0.500 0.000
Fe: 0.144 0.683 0.288
Co: 0.314 0.571 0.627
Co: 0.964 0.764 0.928
Co: 0.686 0.429 0.373
Co: 0.036 0.236 0.072

Calculated values
**ΔE_f**: 0.1737 eV/atom
**Volume**: 12.12 Å³ per atom
**Spin magnetization**: 16.53 μB/cell
**Crystal system**: monoclinic
**Symmetry**: No. 12

A relaxed structure of V5FeCo8, computed with PBE-GGA.

a = 6.053 Å, b = 6.053 Å, c = 6.053 Å
α = 112.84°, β = 102.93°, γ = 112.84°
Fractional coordinates of all 14 atoms:
V: 0.077 0.374 0.173
V: 0.827 0.903 0.201
V: 0.799 0.626 0.703
V: 0.500 0.000 0.500
V: 0.297 0.097 0.923
Fe: 0.250 0.500 0.750
Co: 0.167 0.764 0.075
Co: 0.925 0.092 0.688
Co: 0.694 0.241 0.294
Co: 0.706 0.400 0.947
Co: 0.547 0.600 0.306
Co: 0.596 0.908 0.833
Co: 0.312 0.236 0.404
Co: 0.053 0.759 0.453

Calculated values
**ΔE_f**: 0.1327 eV/atom
**Volume**: 12.08 Å³ per atom
**Spin magnetization**: 3.93 μB/cell
**Crystal system**: tetragonal
**Symmetry**: No. 82

A relaxed structure of V2FeCo6, computed with PBE-GGA.

a = 5.505 Å, b = 4.742 Å, c = 4.742 Å
α = 61.52°, β = 100.41°, γ = 100.41°
Fractional coordinates of all 9 atoms:
V: 0.861 0.662 0.662
V: 0.139 0.338 0.338
Fe: 0.000 0.000 0.000
Co: 0.357 0.363 0.846
Co: 0.275 0.835 0.835
Co: 0.357 0.846 0.363
Co: 0.643 0.637 0.154
Co: 0.725 0.165 0.165
Co: 0.643 0.154 0.637

Calculated values
**ΔE_f**: 0.0990 eV/atom
**Volume**: 11.82 Å³ per atom
**Spin magnetization**: 6.45 μB/cell
**Crystal system**: monoclinic
**Symmetry**: No. 12

A relaxed structure of VFe2Co, computed with PBE-GGA.

a = 4.043 Å, b = 4.043 Å, c = 4.043 Å
α = 60.00°, β = 60.00°, γ = 60.00°
Fractional coordinates of all 4 atoms:
Co: 0.500 0.500 0.500
Fe: 0.250 0.250 0.250
Fe: 0.750 0.750 0.750
V: 0.000 0.000 0.000

Calculated values
**ΔE_f**: -0.0750 eV/atom
**Volume**: 11.68 Å³ per atom
**Spin magnetization**: 4.67 μB/cell
**Crystal system**: cubic
**Energy above the lowest structure with this stoichiometry**: 0.0263 eV per atom
**Symmetry**: No. 225

A relaxed structure of VFe2Co, computed with PBE-GGA.

a = 2.905 Å, b = 2.905 Å, c = 5.554 Å
α = 90.00°, β = 90.00°, γ = 90.00°
Fractional coordinates of all 4 atoms:
Co: 0.500 0.500 0.000
Fe: 0.000 0.000 0.751
Fe: 0.000 0.000 0.249
V: 0.500 0.500 0.500

Calculated values
**ΔE_f**: -0.0648 eV/atom
**Volume**: 11.72 Å³ per atom
**Spin magnetization**: 4.56 μB/cell
**Crystal system**: tetragonal
**Energy above the lowest structure with this stoichiometry**: 0.0365 eV per atom
**Symmetry**: No. 123

A relaxed structure of V6Fe3Co, computed with PBE-GGA.

a = 6.599 Å, b = 4.751 Å, c = 4.751 Å
α = 60.92°, β = 73.62°, γ = 73.62°
Fractional coordinates of all 10 atoms:
V: 0.302 0.082 0.586
V: 0.698 0.414 0.918
V: 0.698 0.918 0.414
V: 0.302 0.586 0.082
V: 0.076 0.648 0.648
V: 0.924 0.352 0.352
Fe: 0.324 0.092 0.092
Fe: 0.676 0.908 0.908
Fe: 0.000 0.000 0.000
Co: 0.500 0.500 0.500

Calculated values
**ΔE_f**: -0.0100 eV/atom
**Volume**: 12.30 Å³ per atom
**Spin magnetization**: 0.94 μB/cell
**Crystal system**: monoclinic
**Symmetry**: No. 12

A relaxed structure of VFeCo4, computed with PBE-GGA.

a = 4.548 Å, b = 4.548 Å, c = 8.905 Å
α = 104.79°, β = 104.79°, γ = 90.00°
Fractional coordinates of all 12 atoms:
V: 0.500 0.500 0.000
V: 0.250 0.750 0.500
Fe: 0.000 0.000 0.000
Fe: 0.750 0.250 0.500
Co: 0.624 0.876 0.248
Co: 0.122 0.874 0.748
Co: 0.626 0.874 0.748
Co: 0.624 0.372 0.248
Co: 0.126 0.878 0.252
Co: 0.124 0.376 0.752
Co: 0.628 0.376 0.752
Co: 0.126 0.374 0.252

Calculated values
**ΔE_f**: 0.8227 eV/atom
**Volume**: 14.32 Å³ per atom
**Spin magnetization**: 14.39 μB/cell
**Crystal system**: tetragonal
**Energy above the lowest structure with this stoichiometry**: 0.8179 eV per atom
**Symmetry**: No. 141

A relaxed structure of VFe6Co2, computed with PBE-GGA.

a = 2.758 Å, b = 6.304 Å, c = 6.950 Å
α = 63.03°, β = 85.19°, γ = 79.35°
Fractional coordinates of all 9 atoms:
V: 0.000 0.000 0.000
Fe: 0.172 0.833 0.672
Fe: 0.828 0.167 0.328
Fe: 0.332 0.333 0.000
Fe: 0.172 0.504 0.328
Fe: 0.828 0.496 0.672
Fe: 0.668 0.667 0.000
Co: 0.500 0.835 0.329
Co: 0.500 0.165 0.671

Calculated values
**ΔE_f**: 0.0410 eV/atom
**Volume**: 11.76 Å³ per atom
**Spin magnetization**: 16.10 μB/cell
**Crystal system**: monoclinic
**Symmetry**: No. 12

A relaxed structure of V2FeCo8, computed with PBE-GGA.

a = 4.050 Å, b = 6.221 Å, c = 6.148 Å
α = 119.26°, β = 109.23°, γ = 90.00°
Fractional coordinates of all 11 atoms:
V: 0.221 0.642 0.442
V: 0.779 0.358 0.558
Fe: 0.500 0.000 0.000
Co: 0.676 0.911 0.353
Co: 0.404 0.554 0.808
Co: 0.138 0.183 0.277
Co: 0.953 0.275 0.907
Co: 0.862 0.817 0.723
Co: 0.596 0.446 0.192
Co: 0.324 0.089 0.647
Co: 0.047 0.725 0.093

Calculated values
**ΔE_f**: 0.0124 eV/atom
**Volume**: 11.38 Å³ per atom
**Spin magnetization**: 12.62 μB/cell
**Crystal system**: monoclinic
**Symmetry**: No. 12

A relaxed structure of VFeCo2, computed with PBE-GGA.

a = 3.517 Å, b = 3.571 Å, c = 3.571 Å
α = 90.00°, β = 90.00°, γ = 90.00°
Fractional coordinates of all 4 atoms:
Co: 0.000 0.000 0.500
Co: 0.000 0.500 0.000
Fe: 0.500 0.000 0.000
V: 0.500 0.500 0.500

Calculated values
**ΔE_f**: -0.1420 eV/atom
**Volume**: 11.21 Å³ per atom
**Spin magnetization**: 2.54 μB/cell
**Crystal system**: tetragonal
**Symmetry**: No. 123

A relaxed structure of V4Fe9Co11, computed with PBE-GGA.

a = 2.674 Å, b = 10.313 Å, c = 10.313 Å
α = 102.47°, β = 90.00°, γ = 90.00°
Fractional coordinates of all 24 atoms:
V: 0.500 0.575 0.738
V: 0.500 0.425 0.262
V: 0.500 0.738 0.575
V: 0.500 0.262 0.425
Fe: 0.500 0.606 0.151
Fe: 0.500 0.394 0.849
Fe: 0.500 0.151 0.606
Fe: 0.500 0.849 0.394
Fe: 0.500 0.798 0.986
Fe: 0.500 0.202 0.014
Fe: 0.500 0.986 0.798
Fe: 0.500 0.014 0.202
Fe: 0.500 0.500 0.500
Co: 0.000 0.600 0.946
Co: 0.000 0.400 0.054
Co: 0.000 0.946 0.600
Co: 0.000 0.054 0.400
Co: 0.000 0.636 0.364
Co: 0.000 0.364 0.636
Co: 0.000 0.813 0.187
Co: 0.000 0.187 0.813
Co: 0.000 0.000 0.000
Co: 0.000 0.787 0.787
Co: 0.000 0.213 0.213

Calculated values
**ΔE_f**: 0.0008 eV/atom
**Volume**: 11.57 Å³ per atom
**Spin magnetization**: 33.07 μB/cell
**Crystal system**: orthorhombic
**Symmetry**: No. 65

A relaxed structure of VFe4Co2, computed with PBE-GGA.

a = 4.525 Å, b = 7.123 Å, c = 6.335 Å
α = 124.21°, β = 100.67°, γ = 90.00°
Fractional coordinates of all 14 atoms:
V: 0.303 0.739 0.550
V: 0.947 0.939 0.950
Fe: 0.309 0.337 0.403
Fe: 0.941 0.342 0.097
Fe: 0.835 0.951 0.574
Fe: 0.309 0.994 0.403
Fe: 0.835 0.551 0.574
Fe: 0.415 0.728 0.926
Fe: 0.941 0.684 0.097
Fe: 0.415 0.127 0.926
Co: 0.625 0.339 0.750
Co: 0.487 0.556 0.183
Co: 0.125 0.339 0.750
Co: 0.763 0.123 0.317

Calculated values
**ΔE_f**: 0.0430 eV/atom
**Volume**: 11.75 Å³ per atom
**Spin magnetization**: 21.01 μB/cell
**Crystal system**: monoclinic
**Energy above the lowest structure with this stoichiometry**: 0.0000 eV per atom
**Symmetry**: No. 12

A relaxed structure of V2FeCo4, computed with PBE-GGA.

a = 3.362 Å, b = 4.995 Å, c = 4.995 Å
α = 88.53°, β = 90.00°, γ = 90.00°
Fractional coordinates of all 7 atoms:
V: 0.000 0.785 0.215
V: 0.000 0.215 0.785
Fe: 0.500 0.500 0.500
Co: 0.000 0.747 0.747
Co: 0.000 0.253 0.253
Co: 0.500 0.000 0.500
Co: 0.500 0.500 0.000

Calculated values
**ΔE_f**: 0.1044 eV/atom
**Volume**: 11.98 Å³ per atom
**Spin magnetization**: 2.97 μB/cell
**Crystal system**: orthorhombic
**Energy above the lowest structure with this stoichiometry**: 0.0917 eV per atom
**Symmetry**: No. 65

A relaxed structure of V3FeCo6, computed with PBE-GGA.

a = 8.124 Å, b = 5.629 Å, c = 5.629 Å
α = 48.74°, β = 44.63°, γ = 44.63°
Fractional coordinates of all 10 atoms:
V: 0.256 0.240 0.240
V: 0.744 0.760 0.760
V: 0.000 0.000 0.000
Fe: 0.500 0.500 0.500
Co: 0.319 0.181 0.679
Co: 0.681 0.321 0.819
Co: 0.681 0.819 0.321
Co: 0.319 0.679 0.181
Co: 0.049 0.750 0.750
Co: 0.951 0.250 0.250

Calculated values
**ΔE_f**: 0.1572 eV/atom
**Volume**: 12.08 Å³ per atom
**Spin magnetization**: 5.39 μB/cell
**Crystal system**: monoclinic
**Symmetry**: No. 12

A relaxed structure of VFe5Co2W2, computed with PBE-GGA.

a = 3.682 Å, b = 8.184 Å, c = 8.184 Å
α = 90.00°, β = 90.00°, γ = 90.00°
Fractional coordinates of all 20 atoms:
V: 0.000 0.000 0.000
V: 0.000 0.500 0.500
Fe: 0.500 0.202 0.064
Fe: 0.500 0.798 0.936
Fe: 0.500 0.064 0.798
Fe: 0.500 0.702 0.436
Fe: 0.500 0.936 0.202
Fe: 0.500 0.298 0.564
Fe: 0.500 0.564 0.702
Fe: 0.500 0.436 0.298
Fe: 0.500 0.500 0.000
Fe: 0.500 0.000 0.500
Co: 0.000 0.127 0.627
Co: 0.000 0.873 0.373
Co: 0.000 0.627 0.873
Co: 0.000 0.373 0.127
W: 0.000 0.669 0.169
W: 0.000 0.331 0.831
W: 0.000 0.169 0.331
W: 0.000 0.831 0.669

Calculated values
**ΔE_f**: 0.1365 eV/atom
**Volume**: 12.33 Å³ per atom
**Spin magnetization**: 12.05 μB/cell
**Crystal system**: tetragonal
**Symmetry**: No. 127